# CdAsPd4 | Alexandria via LeMat-Bulk | PBE-GGA | relaxed
data_CdAsPd4
_chemical_formula_sum 'Cd2 As2 Pd8'
_cell_length_a 5.351
_cell_length_b 5.486
_cell_length_c 7.614
_cell_angle_alpha 80.80
_cell_angle_beta 69.46
_cell_angle_gamma 89.90
_space_group_name_H-M_alt 'P -1'
_space_group_IT_number 2
_space_group_name_Hall '-P 1'
loop_
_atom_site_label
_atom_site_type_symbol
_atom_site_fract_x
_atom_site_fract_y
_atom_site_fract_z
_atom_site_occupancy
Cd1 Cd 0.104 0.250 0.000 1
As1 As 0.000 0.500 0.500 1
As2 As 0.500 0.000 0.500 1
Pd1 Pd 0.045 0.082 0.659 1
Pd2 Pd 0.296 0.583 0.659 1
Pd3 Pd 0.320 0.570 0.170 1
Pd4 Pd 0.490 0.930 0.830 1
# total moment	0.00	μB per formula unit
# energy of formation from the pure elements	-0.2607	eV/atom
# crystal system	triclinic
# E	-55.80	eV for the cell shown